DFT (PBE with a Hubbard U) results for Co2TeF after structural relaxation.

Calculated values
Its calculated density is 7.4 g/cm³. The value obtained for the energy above the most stable polymorph in this dataset is 0.6374 eV per atom.

Lattice parameters (Å, degrees): 4.378 4.378 4.378 60.00 60.00 60.00
Last column: magnetic moment on the atom in μB.
Positions (direct):
F  0.000  0.000  0.000  0.21
Co  0.250  0.250  0.250  2.23
Co  0.750  0.750  0.750  2.23
Te  0.500  0.500  0.500  0.18